[1]
An optimized crystal structure of PbW4Se7. Source: Alexandria, functional GGA-PBE.

Properties
Density = 9.39 g/cm3
M_tot = 0.000 μB per atom
SG = Pmn2_1, No. 31
DOS at the Fermi energy = 12.80 states/eV/cell
Uncorrected formation energy = 37 meV per atom

a = 18.3224 Å, b = 4.7632 Å, c = 6.0590 Å
α = 90.00°, β = 90.00°, γ = 90.00°
Positions (direct):
1 Pb 0.0000 0.1084 0.0000
2 Pb 0.5000 0.8916 0.5000
3 W 0.1421 0.7632 0.4824
4 W 0.2471 0.6022 0.1380
5 W 0.2529 0.3978 0.6380
6 W 0.3579 0.2368 0.9824
7 W 0.6421 0.2368 0.9824
8 W 0.7471 0.3978 0.6380
9 W 0.7529 0.6022 0.1380
10 W 0.8579 0.7632 0.4824
11 Se 0.0000 0.8241 0.5567
12 Se 0.1071 0.6307 0.1056
13 Se 0.1183 0.2731 0.6392
14 Se 0.2330 0.1115 0.2779
15 Se 0.2670 0.8885 0.7780
16 Se 0.3817 0.7269 0.1392
17 Se 0.3929 0.3693 0.6056
18 Se 0.5000 0.1759 0.0567
19 Se 0.6071 0.3693 0.6056
20 Se 0.6183 0.7269 0.1392
21 Se 0.7330 0.8885 0.7780
22 Se 0.7670 0.1115 0.2779
23 Se 0.8817 0.2731 0.6392
24 Se 0.8929 0.6307 0.1056



[2]
An optimized crystal structure of PbW2Se. Source: Alexandria, functional GGA-PBE.

Properties
Density = 12.36 g/cm3
M_tot = 0.000 μB per atom
SG = P4mm, No. 99
DOS at the Fermi energy = 1.66 states/eV/cell
Uncorrected formation energy = 344 meV per atom
Energy relative to the lowest polymorph listed for this composition = 0 meV per atom

a = 3.2875 Å, b = 3.2875 Å, c = 8.1283 Å
α = 90.00°, β = 90.00°, γ = 90.00°
Positions (direct):
1 Pb 0.0000 0.0000 0.0000
2 W 0.0000 0.0000 0.5698
3 W 0.5000 0.5000 0.7339
4 Se 0.5000 0.5000 0.3930



[3]
An optimized crystal structure of PbW3Se. Source: Alexandria, functional GGA-PBE.

Properties
Density = 13.57 g/cm3
M_tot = 0.000 μB per atom
SG = Pm-3m, No. 221
DOS at the Fermi energy = 4.97 states/eV/cell
Uncorrected formation energy = 1648 meV per atom
Energy relative to the lowest polymorph listed for this composition = 0 meV per atom

a = 4.6806 Å, b = 4.6806 Å, c = 4.6806 Å
α = 90.00°, β = 90.00°, γ = 90.00°
Positions (direct):
1 Pb 0.0000 0.0000 0.0000
2 W 0.0000 0.5000 0.5000
3 W 0.5000 0.0000 0.5000
4 W 0.5000 0.5000 0.0000
5 Se 0.5000 0.5000 0.5000



[4]
An optimized crystal structure of PbW2Se. Source: Alexandria, functional GGA-PBE.

Properties
Density = 13.00 g/cm3
M_tot = 0.000 μB per atom
SG = Cmm2, No. 35
DOS at the Fermi energy = 2.47 states/eV/cell
Uncorrected formation energy = 493 meV per atom
Energy relative to the lowest polymorph listed for this composition = 148 meV per atom

a = 2.9936 Å, b = 2.9936 Å, c = 10.0381 Å
α = 90.00°, β = 90.00°, γ = 111.80°
Positions (direct):
1 Pb 0.0000 0.0000 0.0000
2 W 0.0000 0.0000 0.5428
3 W 0.5000 0.5000 0.7433
4 Se 0.5000 0.5000 0.3407



[5]
An optimized crystal structure of PbWSe2. Source: Alexandria, functional GGA-PBE.

Properties
Density = 9.76 g/cm3
M_tot = 0.000 μB per atom
SG = Cmmm, No. 65
DOS at the Fermi energy = 3.23 states/eV/cell
Uncorrected formation energy = 333 meV per atom

a = 3.3417 Å, b = 3.3417 Å, c = 9.7481 Å
α = 90.00°, β = 90.00°, γ = 120.92°
Positions (direct):
1 Pb 0.0000 0.0000 0.0000
2 W 0.0000 0.0000 0.5000
3 Se 0.5000 0.5000 0.3038
4 Se 0.5000 0.5000 0.6962



[6]
An optimized crystal structure of PbWSe2. Source: Alexandria, functional GGA-PBE.

Properties
Density = 9.06 g/cm3
M_tot = 0.221 μB per atom
SG = Immm, No. 71
DOS at the Fermi energy = 2.84 states/eV/cell
Uncorrected formation energy = 201 meV per atom

a = 6.1454 Å, b = 6.1454 Å, c = 6.1454 Å
α = 147.95°, β = 124.25°, γ = 65.77°
Positions (direct):
1 Pb 0.0000 0.0000 0.0000
2 W 0.5000 0.5000 0.0000
3 Se 0.3210 0.8210 0.5000
4 Se 0.6790 0.1790 0.5000



[7]
An optimized crystal structure of PbW2Se. Source: Alexandria, functional GGA-PBE.

Properties
Density = 12.98 g/cm3
M_tot = 0.000 μB per atom
SG = Cm, No. 8
DOS at the Fermi energy = 1.80 states/eV/cell
Uncorrected formation energy = 596 meV per atom
Energy relative to the lowest polymorph listed for this composition = 251 meV per atom

a = 4.7943 Å, b = 4.7943 Å, c = 5.8391 Å
α = 100.71°, β = 100.71°, γ = 39.49°
Positions (direct):
1 Pb 0.0000 0.0000 0.0000
2 W 0.4785 0.4785 0.4789
3 W 0.7652 0.7652 0.2804
4 Se 0.2165 0.2165 0.6057



[8]
An optimized crystal structure of PbWSe2. Source: Alexandria, functional GGA-PBE.

Properties
Density = 9.96 g/cm3
M_tot = 0.000 μB per atom
SG = P4mm, No. 99
DOS at the Fermi energy = 3.00 states/eV/cell
Uncorrected formation energy = 305 meV per atom

a = 3.1112 Å, b = 3.1112 Å, c = 9.4508 Å
α = 90.00°, β = 90.00°, γ = 90.00°
Positions (direct):
1 Pb 0.0000 0.0000 0.0000
2 W 0.5000 0.5000 0.7515
3 Se 0.0000 0.0000 0.6063
4 Se 0.5000 0.5000 0.2841